(P)
RbZrPd3 | PBE | relaxed

a b c (Å): 5.134 5.134 5.134
angles (deg): 90.00 90.00 90.00
Fractional positions:
Rb: 0.500 0.500 0.500
Zr: 0.000 0.000 0.000
Pd: 0.000 0.500 0.000
Pd: 0.000 0.000 0.500
Pd: 0.500 0.000 0.000

Calculated values
density	6.09	g cm⁻³
Fermi-level density of states	3.647	states/eV/cell

---

(Q)
RbZrPd3 | PBE | relaxed

a b c (Å): 5.023 5.023 5.023
angles (deg): 90.00 90.00 90.00
Last column: magnetic moment on the atom in μB.
Fractional positions:
Rb: 0.000 0.000 0.000  0.01
Zr: 0.500 0.500 0.500  0.72
Pd: 0.000 0.500 0.000  0.02
Pd: 0.000 0.000 0.500  0.02
Pd: 0.500 0.000 0.000  -0.03

Calculated values
density	6.50	g cm⁻³
Fermi-level density of states	9.239	states/eV/cell

---

Of them, (Q) has the lowest stability.

---

(P)
RePdRh2 | PBE | relaxed

a b c (Å): 3.767 3.767 6.040
angles (deg): 71.83 71.83 60.00
Fractional positions:
Re: 0.504 0.504 0.489
Pd: 0.665 0.665 0.005
Rh: 0.090 0.090 0.730
Rh: 0.241 0.241 0.276

Calculated values
density	11.95	g cm⁻³
Fermi-level density of states	2.534	states/eV/cell

---

(Q)
RePdRh2 | PBE | relaxed

a b c (Å): 2.741 2.741 9.149
angles (deg): 81.39 81.39 60.00
Fractional positions:
Re: 0.000 0.000 0.000
Rh: 0.747 0.747 0.759
Rh: 0.253 0.253 0.241
Pd: 0.500 0.500 0.500

Calculated values
density	14.12	g cm⁻³
Fermi-level density of states	4.175	states/eV/cell

---

(R)
RePdRh2 | PBE | relaxed

a b c (Å): 2.740 2.740 7.803
angles (deg): 90.00 90.00 90.00
Fractional positions:
Re: 0.000 0.000 0.000
Pd: 0.000 0.000 0.500
Rh: 0.500 0.500 0.237
Rh: 0.500 0.500 0.763

Calculated values
density	14.13	g cm⁻³
Fermi-level density of states	3.127	states/eV/cell

---

Of them, (P) has the lowest stability.

---

(P)
RePdRh2 | PBE | relaxed

a b c (Å): 6.994 6.994 5.632
angles (deg): 51.62 51.62 90.00
Fractional positions:
Re: 0.000 0.000 0.000
Re: 0.750 0.250 0.500
Rh: 0.660 0.125 0.250
Rh: 0.090 0.625 0.250
Rh: 0.375 0.340 0.750
Rh: 0.875 0.910 0.750
Pd: 0.500 0.500 0.000
Pd: 0.250 0.750 0.500

Calculated values
density	12.55	g cm⁻³
Fermi-level density of states	8.280	states/eV/cell

---

(Q)
RePdRh2 | PBE | relaxed

a b c (Å): 4.373 4.373 4.373
angles (deg): 60.00 60.00 60.00
Fractional positions:
Re: 0.500 0.500 0.500
Rh: 0.250 0.250 0.250
Rh: 0.750 0.750 0.750
Pd: 0.000 0.000 0.000

Calculated values
density	14.00	g cm⁻³
Fermi-level density of states	6.146	states/eV/cell

---

Of them, (P) has the lowest stability.

---

(P)
RePd3Rh | PBE | relaxed

a b c (Å): 4.728 4.728 4.728
angles (deg): 90.00 90.00 90.00
Fractional positions:
Re: 0.000 0.000 0.000
Rh: 0.500 0.500 0.500
Pd: 0.000 0.500 0.000
Pd: 0.000 0.000 0.500
Pd: 0.500 0.000 0.000

Calculated values
density	9.56	g cm⁻³
Fermi-level density of states	7.108	states/eV/cell

---

(Q)
RePd3Rh | PBE | relaxed

a b c (Å): 4.749 4.749 4.749
angles (deg): 90.00 90.00 90.00
Last column: magnetic moment on the atom in μB.
Fractional positions:
Re: 0.500 0.500 0.500  3.44
Rh: 0.000 0.000 0.000  0.97
Pd: 0.000 0.500 0.000  0.22
Pd: 0.000 0.000 0.500  0.38
Pd: 0.500 0.000 0.000  0.23

Calculated values
density	9.43	g cm⁻³
Fermi-level density of states	7.332	states/eV/cell

---

Of them, (Q) has the lowest stability.

---

(P)
Re2PdRu | PBE | relaxed

a b c (Å): 2.741 2.741 9.200
angles (deg): 81.43 81.43 60.00
Fractional positions:
Re: 0.748 0.748 0.757
Re: 0.252 0.252 0.243
Pd: 0.500 0.500 0.500
Ru: 0.000 0.000 0.000

Calculated values
density	16.33	g cm⁻³
Fermi-level density of states	5.065	states/eV/cell

---

(Q)
Re2PdRu | PBE | relaxed

a b c (Å): 4.393 4.393 4.393
angles (deg): 60.00 60.00 60.00
Fractional positions:
Re: 0.250 0.250 0.250
Re: 0.750 0.750 0.750
Pd: 0.500 0.500 0.500
Ru: 0.000 0.000 0.000

Calculated values
density	16.06	g cm⁻³
Fermi-level density of states	5.760	states/eV/cell

---

Of them, (Q) has the lowest stability.

---

(P)
RePdS2 | PBE | relaxed

a b c (Å): 8.066 8.066 8.066
angles (deg): 22.21 22.21 22.21
Fractional positions:
Re: 0.500 0.500 0.500
S: 0.902 0.902 0.902
S: 0.098 0.098 0.098
Pd: 0.000 0.000 0.000

Calculated values
density	9.01	g cm⁻³
Fermi-level density of states	2.129	states/eV/cell

---

(Q)
RePdS2 | PBE | relaxed

a b c (Å): 3.605 5.414 7.212
angles (deg): 95.54 90.00 90.00
Last column: magnetic moment on the atom in μB.
Fractional positions:
Re: 0.939 0.204 0.728  0.28
Re: 0.625 0.704 0.728  0.28
Pd: 0.282 0.954 0.228  0.01
Pd: 0.282 0.454 0.228  0.01
S: 0.111 0.887 0.919  0.00
S: 0.111 0.521 0.536  0.00
S: 0.454 0.387 0.919  0.00
S: 0.454 0.021 0.536  0.00

Calculated values
density	8.46	g cm⁻³
Fermi-level density of states	3.684	states/eV/cell

---

(R)
RePdS2 | PBE | relaxed

a b c (Å): 4.310 4.310 4.310
angles (deg): 60.00 60.00 60.00
Fractional positions:
Re: 0.500 0.500 0.500
S: 0.250 0.250 0.250
S: 0.750 0.750 0.750
Pd: 0.000 0.000 0.000

Calculated values
density	10.46	g cm⁻³
Fermi-level density of states	3.561	states/eV/cell

---

(S)
RePdS2 | PBE | relaxed

a b c (Å): 5.462 5.462 6.471
angles (deg): 65.04 65.04 90.00
Fractional positions:
Re: 0.000 0.000 0.000
Re: 0.750 0.250 0.500
S: 0.649 0.125 0.250
S: 0.101 0.625 0.250
S: 0.375 0.351 0.750
S: 0.875 0.899 0.750
Pd: 0.500 0.500 0.000
Pd: 0.250 0.750 0.500

Calculated values
density	7.65	g cm⁻³
Fermi-level density of states	6.098	states/eV/cell

---

Of them, (R) has the lowest stability.

---

(P)
RePdS3 | PBE | relaxed

a b c (Å): 4.616 4.616 4.616
angles (deg): 90.00 90.00 90.00
Fractional positions:
Re: 0.000 0.000 0.000
S: 0.000 0.500 0.000
S: 0.000 0.000 0.500
S: 0.500 0.000 0.000
Pd: 0.500 0.500 0.500

Calculated values
density	6.57	g cm⁻³
Fermi-level density of states	4.516	states/eV/cell

---

(Q)
RePdS3 | PBE | relaxed

a b c (Å): 5.925 7.898 8.298
angles (deg): 113.72 90.00 90.00
Fractional positions:
Re: 0.307 0.399 0.916
Re: 0.693 0.601 0.084
Re: 0.807 0.101 0.084
Re: 0.193 0.899 0.916
Pd: 0.686 0.620 0.581
Pd: 0.314 0.380 0.419
Pd: 0.186 0.880 0.419
Pd: 0.814 0.120 0.581
S: 0.066 0.651 0.962
S: 0.934 0.349 0.038
S: 0.566 0.849 0.038
S: 0.434 0.151 0.962
S: 0.629 0.438 0.773
S: 0.371 0.562 0.227
S: 0.129 0.062 0.227
S: 0.871 0.938 0.773
S: 0.191 0.232 0.618
S: 0.809 0.768 0.382
S: 0.691 0.268 0.382
S: 0.309 0.732 0.618

Calculated values
density	7.26	g cm⁻³
Fermi-level density of states	11.933	states/eV/cell

---

Of them, (P) has the lowest stability.

---

(P)
RePd3S | PBE | relaxed

a b c (Å): 4.478 4.478 4.478
angles (deg): 90.00 90.00 90.00
Last column: magnetic moment on the atom in μB.
Fractional positions:
Re: 0.500 0.500 0.500  3.41
S: 0.000 0.000 0.000  0.04
Pd: 0.000 0.500 0.000  0.09
Pd: 0.000 0.000 0.500  0.12
Pd: 0.500 0.000 0.000  0.17

Calculated values
density	9.94	g cm⁻³
Fermi-level density of states	2.288	states/eV/cell

---

(Q)
RePd3S | PBE | relaxed

a b c (Å): 4.796 4.796 4.796
angles (deg): 90.00 90.00 90.00
Fractional positions:
Re: 0.000 0.000 0.000
S: 0.500 0.500 0.500
Pd: 0.000 0.500 0.000
Pd: 0.000 0.000 0.500
Pd: 0.500 0.000 0.000

Calculated values
density	8.09	g cm⁻³
Fermi-level density of states	6.476	states/eV/cell

---

Of them, (Q) has the lowest stability.

---

(P)
Re2Sb2Pd | PBE | relaxed

a b c (Å): 7.695 7.695 3.085
angles (deg): 90.00 90.00 90.00
Fractional positions:
Re: 0.143 0.643 0.500
Re: 0.643 0.857 0.500
Re: 0.857 0.357 0.500
Re: 0.357 0.143 0.500
Pd: 0.000 0.000 0.000
Pd: 0.500 0.500 0.000
Sb: 0.345 0.845 0.000
Sb: 0.845 0.655 0.000
Sb: 0.655 0.155 0.000
Sb: 0.155 0.345 0.000

Calculated values
density	13.13	g cm⁻³
Fermi-level density of states	13.158	states/eV/cell

---

(Q)
Re2Sb2Pd | PBE | relaxed

a b c (Å): 3.597 3.597 8.412
angles (deg): 77.65 77.65 90.00
Fractional positions:
Re: 0.750 0.250 0.500
Re: 0.250 0.750 0.500
Pd: 0.000 0.000 0.000
Sb: 0.392 0.392 0.215
Sb: 0.608 0.608 0.785

Calculated values
density	11.56	g cm⁻³
Fermi-level density of states	3.840	states/eV/cell

---

Of them, (P) has the lowest stability.

---

(P)
ReSbTe2Pd | PBE | relaxed

a b c (Å): 5.267 5.267 5.087
angles (deg): 90.00 90.00 90.00
Last column: magnetic moment on the atom in μB.
Fractional positions:
Re: 0.500 0.500 0.500  3.36
Te: 0.000 0.500 0.000  -0.11
Te: 0.500 0.000 0.000  -0.11
Pd: 0.000 0.000 0.000  -0.03
Sb: 0.000 0.000 0.500  -0.17

Calculated values
density	7.88	g cm⁻³
Fermi-level density of states	4.491	states/eV/cell

---

(Q)
ReSbTe2Pd | PBE | relaxed

a b c (Å): 5.218 5.144 5.218
angles (deg): 90.00 90.00 90.00
Fractional positions:
Re: 0.000 0.000 0.000
Te: 0.000 0.000 0.500
Te: 0.500 0.000 0.000
Pd: 0.500 0.500 0.500
Sb: 0.000 0.500 0.000

Calculated values
density	7.94	g cm⁻³
Fermi-level density of states	7.373	states/eV/cell

---

Of them, (P) has the lowest stability.

---

(P)
ScRe3Pd | PBE | relaxed

a b c (Å): 4.548 4.548 4.548
angles (deg): 90.00 90.00 90.00
Fractional positions:
Sc: 0.000 0.000 0.000
Re: 0.000 0.500 0.000
Re: 0.000 0.000 0.500
Re: 0.500 0.000 0.000
Pd: 0.500 0.500 0.500

Calculated values
density	12.54	g cm⁻³
Fermi-level density of states	3.784	states/eV/cell

---

(Q)
ScRe3Pd | PBE | relaxed

a b c (Å): 4.711 4.711 4.711
angles (deg): 90.00 90.00 90.00
Fractional positions:
Sc: 0.500 0.500 0.500
Re: 0.000 0.500 0.000
Re: 0.000 0.000 0.500
Re: 0.500 0.000 0.000
Pd: 0.000 0.000 0.000

Calculated values
density	11.28	g cm⁻³
Fermi-level density of states	10.553	states/eV/cell

---

Of them, (P) has the lowest stability.

---

(P)
ScRe2Pd | PBE | relaxed

a b c (Å): 7.621 7.621 5.937
angles (deg): 50.07 50.07 90.00
Fractional positions:
Sc: 0.500 0.500 0.000
Sc: 0.250 0.750 0.500
Re: 0.658 0.125 0.250
Re: 0.092 0.625 0.250
Re: 0.375 0.342 0.750
Re: 0.875 0.908 0.750
Pd: 0.000 0.000 0.000
Pd: 0.750 0.250 0.500

Calculated values
density	12.03	g cm⁻³
Fermi-level density of states	9.197	states/eV/cell

---

(Q)
ScRe2Pd | PBE | relaxed

a b c (Å): 4.495 4.495 4.495
angles (deg): 60.00 60.00 60.00
Last column: magnetic moment on the atom in μB.
Fractional positions:
Sc: 0.000 0.000 0.000  0.08
Re: 0.250 0.250 0.250  0.37
Re: 0.750 0.750 0.750  0.37
Pd: 0.500 0.500 0.500  0.09

Calculated values
density	13.55	g cm⁻³
Fermi-level density of states	5.032	states/eV/cell

---

Of them, (P) has the lowest stability.